No. 1
This record from the Alexandria database describes a relaxed CsHgSb3 crystal. The functional is PBE.

Raw total energy: -2.390 eV per atom
V: 38.448 Å³ per atom
N(E_F): 0.940 states/eV per atom
Energy relative to the lowest polymorph listed for this composition: 393 meV per atom

Unit cell a=5.771 b=5.771 c=5.771 alpha=90.00 beta=90.00 gamma=90.00
Atoms (fractional coordinates):
Cs 0.500 0.500 0.500
Sb 0.000 0.500 0.000
Sb 0.000 0.000 0.500
Sb 0.500 0.000 0.000
Hg 0.000 0.000 0.000

No. 2
This record from the Alexandria database describes a relaxed Cs2Hg2Sb crystal. The functional is PBE.

Raw total energy: -1.539 eV per atom
V: 40.687 Å³ per atom
N(E_F): 0.480 states/eV per atom
Energy relative to the lowest polymorph listed for this composition: 90 meV per atom

Unit cell a=8.373 b=8.373 c=5.803 alpha=90.00 beta=90.00 gamma=90.00
Atoms (fractional coordinates):
Cs 0.178 0.678 0.500
Cs 0.678 0.822 0.500
Cs 0.822 0.322 0.500
Cs 0.322 0.178 0.500
Sb 0.000 0.000 0.000
Sb 0.500 0.500 0.000
Hg 0.366 0.866 0.000
Hg 0.866 0.634 0.000
Hg 0.634 0.134 0.000
Hg 0.134 0.366 0.000

No. 3
This record from the Alexandria database describes a relaxed CsHgSb crystal. The functional is PBE.

Raw total energy: -2.057 eV per atom
V: 45.292 Å³ per atom
N(E_F): 0.429 states/eV per atom

Unit cell a=9.667 b=4.662 c=6.044 alpha=90.00 beta=86.08 gamma=90.01
Atoms (fractional coordinates):
Cs 0.002 0.750 0.697
Cs 0.586 0.250 0.741
Sb 0.703 0.750 0.222
Sb 0.885 0.250 0.217
Hg 0.221 0.250 0.087
Hg 0.367 0.750 0.351

No. 4
This record from the Alexandria database describes a relaxed Cs2Hg2Sb crystal. The functional is PBE.

Raw total energy: -1.628 eV per atom
V: 46.613 Å³ per atom
N(E_F): 0.381 states/eV per atom
Energy relative to the lowest polymorph listed for this composition: 0 meV per atom

Unit cell a=5.032 b=7.511 c=13.426 alpha=79.87 beta=79.20 gamma=70.43
Atoms (fractional coordinates):
Cs 0.700 0.222 0.378
Cs 0.896 0.313 0.894
Cs 0.300 0.778 0.622
Cs 0.104 0.687 0.106
Hg 0.027 0.355 0.591
Hg 0.620 0.888 0.871
Hg 0.973 0.645 0.409
Hg 0.380 0.112 0.129
Sb 0.556 0.203 0.685
Sb 0.444 0.797 0.315

No. 5
This record from the Alexandria database describes a relaxed CsHgSb crystal. The functional is PBE.

Raw total energy: -2.071 eV per atom
V: 37.402 Å³ per atom
N(E_F): 0.238 states/eV per atom

Unit cell a=19.867 b=7.055 c=7.055 alpha=132.67 beta=150.60 gamma=29.40
Atoms (fractional coordinates):
Cs 0.320 0.433 0.567
Cs 0.680 0.567 0.433
Sb 0.274 0.801 0.199
Sb 0.726 0.199 0.801
Hg 0.074 0.507 0.493
Hg 0.926 0.493 0.507

No. 6
This record from the Alexandria database describes a relaxed Cs2HgSbSe4 crystal. The functional is PBE.

Raw total energy: -3.116 eV per atom
V: 39.764 Å³ per atom
N(E_F): 0.754 states/eV per atom

Unit cell a=7.471 b=7.471 c=7.471 alpha=103.11 beta=112.74 gamma=112.74
Atoms (fractional coordinates):
Cs 0.500 0.750 0.250
Cs 0.000 0.000 0.000
Hg 0.500 0.250 0.750
Sb 0.000 0.500 0.500
Se 0.617 0.409 0.494
Se 0.084 0.208 0.591
Se 0.916 0.506 0.124
Se 0.383 0.876 0.792

No. 7
This record from the Alexandria database describes a relaxed CsHg2SbSe4 crystal. The functional is PBE.

Raw total energy: -2.833 eV per atom
V: 37.664 Å³ per atom

Unit cell a=7.186 b=7.416 c=7.416 alpha=72.51 beta=61.02 gamma=61.02
Atoms (fractional coordinates):
Cs 0.000 0.000 0.000
Hg 0.177 0.323 0.323
Hg 0.823 0.677 0.677
Sb 0.500 0.500 0.500
Se 0.446 0.148 0.503
Se 0.098 0.852 0.497
Se 0.902 0.503 0.148
Se 0.554 0.497 0.852

No. 8
This record from the Alexandria database describes a relaxed CsSnHg2Sb crystal. The functional is PBE.

Raw total energy: -1.983 eV per atom
V: 41.488 Å³ per atom
N(E_F): 0.569 states/eV per atom

Unit cell a=5.914 b=5.914 c=5.931 alpha=90.00 beta=90.00 gamma=90.00
Atoms (fractional coordinates):
Cs 0.500 0.500 0.500
Sb 0.000 0.000 0.500
Hg 0.000 0.500 0.000
Hg 0.500 0.000 0.000
Sn 0.000 0.000 0.000

No. 9
This record from the Alexandria database describes a relaxed Cs3Sn2Hg2Sb4 crystal. The functional is PBE.

Raw total energy: -2.802 eV per atom
V: 42.113 Å³ per atom
N(E_F): 0.313 states/eV per atom

Unit cell a=5.112 b=5.112 c=20.472 alpha=90.00 beta=90.00 gamma=120.00
Atoms (fractional coordinates):
Cs 0.000 0.000 0.720
Cs 0.000 0.000 0.000
Cs 0.000 0.000 0.280
Sn 0.667 0.333 0.444
Sn 0.333 0.667 0.556
Hg 0.667 0.333 0.859
Hg 0.333 0.667 0.141
Sb 0.667 0.333 0.143
Sb 0.333 0.667 0.857
Sb 0.667 0.333 0.589
Sb 0.333 0.667 0.411

No. 10
This record from the Alexandria database describes a relaxed CsSnHgSb crystal. The functional is PBE.

Raw total energy: -2.547 eV per atom
V: 41.015 Å³ per atom
N(E_F): 0.395 states/eV per atom

Unit cell a=5.793 b=4.438 c=7.351 alpha=107.57 beta=113.21 gamma=90.00
Atoms (fractional coordinates):
Cs 0.304 0.762 0.608
Sn 0.557 0.516 0.115
Hg 0.974 0.432 0.948
Sb 0.700 0.158 0.400

No. 11
This record from the Alexandria database describes a relaxed CsSnHgSb2 crystal. The functional is PBE.

Raw total energy: -2.883 eV per atom
V: 40.791 Å³ per atom
N(E_F): 0.304 states/eV per atom

Unit cell a=7.367 b=8.486 c=7.205 alpha=115.08 beta=90.00 gamma=90.00
Atoms (fractional coordinates):
Cs 0.236 0.500 0.750
Cs 0.764 0.500 0.250
Sn 0.500 0.000 0.250
Sn 0.500 0.000 0.750
Hg 0.000 0.000 0.000
Hg 0.000 0.000 0.500
Sb 0.719 0.768 0.884
Sb 0.719 0.232 0.616
Sb 0.281 0.768 0.384
Sb 0.281 0.232 0.116

No. 12
This record from the Alexandria database describes a relaxed CsHgSbTe2 crystal. The functional is PBE.

Raw total energy: -1.410 eV per atom
V: 82.635 Å³ per atom
N(E_F): 2.115 states/eV per atom
Energy relative to the lowest polymorph listed for this composition: 1186 meV per atom

Unit cell a=7.355 b=7.355 c=7.639 alpha=90.00 beta=90.00 gamma=90.00
Atoms (fractional coordinates):
Cs 0.000 0.000 0.000
Sb 0.000 0.000 0.500
Te 0.000 0.500 0.000
Te 0.500 0.000 0.000
Hg 0.500 0.500 0.500

No. 13
This record from the Alexandria database describes a relaxed CsHgSbTe2 crystal. The functional is PBE.

Raw total energy: -2.596 eV per atom
V: 41.479 Å³ per atom
N(E_F): 0.809 states/eV per atom
Energy relative to the lowest polymorph listed for this composition: 0 meV per atom

Unit cell a=5.999 b=5.999 c=5.763 alpha=90.00 beta=90.00 gamma=90.00
Atoms (fractional coordinates):
Cs 0.500 0.500 0.500
Sb 0.000 0.000 0.000
Te 0.000 0.500 0.000
Te 0.500 0.000 0.000
Hg 0.000 0.000 0.500

No. 14
This record from the Alexandria database describes a relaxed CsHg2SbTe crystal. The functional is PBE.

Raw total energy: -2.011 eV per atom
V: 42.505 Å³ per atom
N(E_F): 0.664 states/eV per atom

Unit cell a=5.845 b=5.845 c=6.221 alpha=90.00 beta=90.00 gamma=90.00
Atoms (fractional coordinates):
Cs 0.500 0.500 0.500
Sb 0.000 0.000 0.000
Te 0.000 0.000 0.500
Hg 0.000 0.500 0.000
Hg 0.500 0.000 0.000

No. 15
This record from the Alexandria database describes a relaxed CsHgSb2Te crystal. The functional is PBE.

Raw total energy: -2.320 eV per atom
V: 39.038 Å³ per atom
N(E_F): 0.998 states/eV per atom
Energy relative to the lowest polymorph listed for this composition: 0 meV per atom

Unit cell a=5.686 b=5.686 c=6.037 alpha=90.00 beta=90.00 gamma=90.00
Atoms (fractional coordinates):
Cs 0.500 0.500 0.500
Sb 0.000 0.500 0.000
Sb 0.500 0.000 0.000
Te 0.000 0.000 0.500
Hg 0.000 0.000 0.000

No. 16
This record from the Alexandria database describes a relaxed CsHgSbTe2 crystal. The functional is PBE.

Raw total energy: -2.260 eV per atom
V: 39.487 Å³ per atom
N(E_F): 0.915 states/eV per atom
Energy relative to the lowest polymorph listed for this composition: 337 meV per atom

Unit cell a=5.944 b=5.944 c=5.587 alpha=90.00 beta=90.00 gamma=90.00
Atoms (fractional coordinates):
Cs 0.500 0.500 0.500
Sb 0.000 0.000 0.500
Te 0.000 0.500 0.000
Te 0.500 0.000 0.000
Hg 0.000 0.000 0.000

No. 17
This record from the Alexandria database describes a relaxed CsHgSb2Te crystal. The functional is PBE.

Raw total energy: -1.449 eV per atom
V: 94.235 Å³ per atom
N(E_F): 1.869 states/eV per atom
Energy relative to the lowest polymorph listed for this composition: 871 meV per atom

Unit cell a=8.024 b=8.024 c=7.317 alpha=90.00 beta=90.00 gamma=90.00
Atoms (fractional coordinates):
Cs 0.000 0.000 0.000
Sb 0.000 0.500 0.000
Sb 0.500 0.000 0.000
Te 0.000 0.000 0.500
Hg 0.500 0.500 0.500

No. 18
This record from the Alexandria database describes a relaxed CsTlHg2Sb crystal. The functional is PBE.

Raw total energy: -1.810 eV per atom
V: 35.483 Å³ per atom
N(E_F): 0.214 states/eV per atom
Energy relative to the lowest polymorph listed for this composition: 0 meV per atom

Unit cell a=5.111 b=5.452 c=7.382 alpha=111.67 beta=110.26 gamma=90.00
Atoms (fractional coordinates):
Cs 0.446 0.446 0.891
Tl 0.187 0.687 0.375
Hg 0.693 0.193 0.386
Hg 0.059 0.059 0.118
Sb 0.827 0.827 0.655

No. 19
This record from the Alexandria database describes a relaxed CsTlHgSb crystal. The functional is PBE.

Raw total energy: -2.045 eV per atom
V: 41.497 Å³ per atom
N(E_F): 0.495 states/eV per atom
Energy relative to the lowest polymorph listed for this composition: 0 meV per atom

Unit cell a=5.774 b=5.051 c=6.863 alpha=111.59 beta=114.88 gamma=90.00
Atoms (fractional coordinates):
Cs 0.955 0.955 0.911
Tl 0.605 0.605 0.210
Hg 0.217 0.717 0.435
Sb 0.338 0.338 0.675

No. 20
This record from the Alexandria database describes a relaxed Cs4TlHg2Sb2 crystal. The functional is PBE.

Raw total energy: -1.894 eV per atom
V: 53.766 Å³ per atom
N(E_F): 0.185 states/eV per atom

Unit cell a=5.429 b=10.291 c=10.291 alpha=62.38 beta=74.47 gamma=74.47
Atoms (fractional coordinates):
Cs 0.134 0.607 0.121
Cs 0.866 0.879 0.393
Cs 0.866 0.393 0.879
Cs 0.134 0.121 0.607
Tl 0.500 0.000 0.000
Hg 0.297 0.704 0.704
Hg 0.703 0.296 0.296
Sb 0.321 0.179 0.179
Sb 0.679 0.821 0.821

No. 21
This record from the Alexandria database describes a relaxed Cs2Tl4HgSb3 crystal. The functional is PBE.

Raw total energy: -2.565 eV per atom
V: 38.488 Å³ per atom
N(E_F): 0.382 states/eV per atom

Unit cell a=5.368 b=5.368 c=13.358 alpha=90.00 beta=90.00 gamma=90.00
Atoms (fractional coordinates):
Cs 0.500 0.000 0.249
Cs 0.000 0.500 0.751
Tl 0.500 0.500 0.000
Tl 0.000 0.000 0.000
Tl 0.500 0.000 0.624
Tl 0.000 0.500 0.376
Hg 0.500 0.500 0.500
Sb 0.000 0.000 0.500
Sb 0.500 0.000 0.878
Sb 0.000 0.500 0.122

No. 22
This record from the Alexandria database describes a relaxed CsTlHgSb crystal. The functional is PBE.

Raw total energy: -2.008 eV per atom
V: 35.207 Å³ per atom
N(E_F): 0.790 states/eV per atom
Energy relative to the lowest polymorph listed for this composition: 38 meV per atom

Unit cell a=5.840 b=5.840 c=5.840 alpha=60.00 beta=60.00 gamma=60.00
Atoms (fractional coordinates):
Cs 0.250 0.250 0.250
Sb 0.750 0.750 0.750
Tl 0.000 0.000 0.000
Hg 0.500 0.500 0.500

No. 23
This record from the Alexandria database describes a relaxed Cs2TlHgSb2 crystal. The functional is PBE.

Raw total energy: -2.428 eV per atom
V: 40.724 Å³ per atom
N(E_F): 0.232 states/eV per atom

Unit cell a=7.507 b=7.516 c=10.160 alpha=111.71 beta=111.68 gamma=90.00
Atoms (fractional coordinates):
Cs 0.418 0.166 0.331
Cs 0.582 0.834 0.669
Cs 0.087 0.334 0.669
Cs 0.913 0.666 0.331
Tl 0.000 0.750 0.000
Tl 0.000 0.250 0.000
Hg 0.500 0.750 0.000
Hg 0.500 0.250 0.000
Sb 0.833 0.093 0.187
Sb 0.354 0.593 0.187
Sb 0.646 0.407 0.813
Sb 0.167 0.907 0.813

No. 24
This record from the Alexandria database describes a relaxed CsTl2HgSb2 crystal. The functional is PBE.

Raw total energy: -2.485 eV per atom
V: 41.463 Å³ per atom
N(E_F): 0.323 states/eV per atom

Unit cell a=5.454 b=6.406 c=14.242 alpha=90.00 beta=90.00 gamma=90.00
Atoms (fractional coordinates):
Cs 0.500 0.500 0.000
Cs 0.000 0.000 0.500
Tl 0.500 0.198 0.284
Tl 0.000 0.698 0.216
Tl 0.500 0.802 0.716
Tl 0.000 0.302 0.784
Hg 0.000 0.000 0.000
Hg 0.500 0.500 0.500
Sb 0.500 0.701 0.331
Sb 0.500 0.299 0.669
Sb 0.000 0.799 0.831
Sb 0.000 0.201 0.169

No. 25
This record from the Alexandria database describes a relaxed CsTlHg2Sb crystal. The functional is PBE.

Raw total energy: -1.626 eV per atom
V: 44.411 Å³ per atom
N(E_F): 0.403 states/eV per atom
Energy relative to the lowest polymorph listed for this composition: 184 meV per atom

Unit cell a=6.175 b=6.175 c=5.823 alpha=90.00 beta=90.00 gamma=90.00
Atoms (fractional coordinates):
Cs 0.500 0.500 0.500
Sb 0.000 0.000 0.500
Tl 0.000 0.000 0.000
Hg 0.000 0.500 0.000
Hg 0.500 0.000 0.000

No. 26
This record from the Alexandria database describes a relaxed CsTlHg2Sb crystal. The functional is PBE.

Raw total energy: -1.608 eV per atom
V: 43.716 Å³ per atom
N(E_F): 0.473 states/eV per atom
Energy relative to the lowest polymorph listed for this composition: 201 meV per atom

Unit cell a=5.886 b=5.886 c=6.310 alpha=90.00 beta=90.00 gamma=90.00
Atoms (fractional coordinates):
Cs 0.500 0.500 0.500
Sb 0.000 0.000 0.000
Tl 0.000 0.000 0.500
Hg 0.000 0.500 0.000
Hg 0.500 0.000 0.000